a:
DFT (GGA-PBE) results for a geometry-optimized SbAsSeN2 structure.

Output
The symmetry is No. 123. The crystal system is tetragonal.

POSCAR file:
```
SbAsSeN2
1.0
3.9712 0.0000 0.0000
0.0000 3.9712 0.0000
0.0000 0.0000 5.0982
Sb As Se N
1 1 1 2
direct
0.5000 0.5000 0.5000
0.0000 0.0000 0.0000
0.0000 0.0000 0.5000
0.0000 0.5000 0.0000
0.5000 0.0000 0.0000
```

b:
DFT (GGA-PBE) results for a geometry-optimized SbAsSeN2 structure.

Output
The symmetry is No. 123. The crystal system is tetragonal.

POSCAR file:
```
SbAsSeN2
1.0
4.0475 0.0000 0.0000
0.0000 4.0475 0.0000
0.0000 0.0000 5.5367
Sb As Se N
1 1 1 2
direct
0.0000 0.0000 0.0000
0.5000 0.5000 0.5000
0.0000 0.0000 0.5000
0.0000 0.5000 0.0000
0.5000 0.0000 0.0000
```

The winner here is a, beating the second structure by 119 meV per atom.